(1)
Here is RbAcSbO3 after structural relaxation from Alexandria. Energies are from GGA-PBE.

As for the crystal system: monoclinic. Its total magnetic moment is 0.0 μB/cell. As for the space-group type: No. 12. As for the total energy: -6.05 eV/atom.

```
RbAcSbO3
1.0
7.476 -2.149 0.000
7.476 2.149 0.000
-1.925 0.000 7.762
Rb Ac Sb O
2 2 2 6
direct
0.149 0.149 0.076
0.851 0.851 0.924
0.152 0.152 0.556
0.848 0.848 0.444
0.489 0.489 0.268
0.511 0.511 0.732
0.004 0.004 0.695
0.318 0.318 0.606
0.348 0.348 0.225
0.652 0.652 0.775
0.682 0.682 0.394
0.996 0.996 0.305
```

=====

(2)
Here is Hf6BSb after structural relaxation from Alexandria. Energies are from GGA-PBE.

As for the crystal system: trigonal. Its total magnetic moment is 0.0 μB/cell. As for the space-group type: No. 166. As for the total energy: -9.03 eV/atom.

```
Hf6BSb
1.0
4.426 2.555 2.491
-4.426 2.555 2.491
0.000 -5.111 2.491
Hf B Sb
6 1 1
direct
0.221 0.221 0.613
0.221 0.613 0.221
0.387 0.779 0.779
0.613 0.221 0.221
0.779 0.387 0.779
0.779 0.779 0.387
0.500 0.500 0.500
0.000 0.000 0.000
```

=====

Number 1: formation energy without anion corrections -2.041 eV/atom. Number 2: formation energy without anion corrections -0.219 eV/atom.